Here is crystalline Si23Mo4 at its relaxed geometry from Alexandria via LeMat-Bulk. Energies are from PBE.

a = 10.120 Å, b = 10.120 Å, c = 10.120 Å
α = 90.00°, β = 90.00°, γ = 90.00°
Fractional coordinates of all 54 atoms:
Si 0.000 0.116 0.310
Si 0.000 0.116 0.690
Si 0.000 0.250 0.500
Si 0.000 0.750 0.500
Si 0.000 0.884 0.310
Si 0.000 0.884 0.690
Si 0.116 0.310 0.000
Si 0.116 0.690 0.000
Si 0.183 0.183 0.183
Si 0.183 0.183 0.817
Si 0.183 0.817 0.183
Si 0.183 0.817 0.817
Si 0.190 0.384 0.500
Si 0.190 0.616 0.500
Si 0.250 0.500 0.000
Si 0.310 0.000 0.116
Si 0.310 0.000 0.884
Si 0.317 0.317 0.317
Si 0.317 0.317 0.683
Si 0.317 0.683 0.317
Si 0.317 0.683 0.683
Si 0.384 0.500 0.190
Si 0.384 0.500 0.810
Si 0.500 0.000 0.250
Si 0.500 0.000 0.750
Si 0.500 0.190 0.384
Si 0.500 0.190 0.616
Si 0.500 0.810 0.384
Si 0.500 0.810 0.616
Si 0.616 0.500 0.190
Si 0.616 0.500 0.810
Si 0.683 0.317 0.317
Si 0.683 0.317 0.683
Si 0.683 0.683 0.317
Si 0.683 0.683 0.683
Si 0.690 0.000 0.116
Si 0.690 0.000 0.884
Si 0.750 0.500 0.000
Si 0.810 0.384 0.500
Si 0.810 0.616 0.500
Si 0.817 0.183 0.183
Si 0.817 0.183 0.817
Si 0.817 0.817 0.183
Si 0.817 0.817 0.817
Si 0.884 0.310 0.000
Si 0.884 0.690 0.000
Mo 0.000 0.000 0.000
Mo 0.000 0.500 0.250
Mo 0.000 0.500 0.750
Mo 0.250 0.000 0.500
Mo 0.500 0.250 0.000
Mo 0.500 0.500 0.500
Mo 0.500 0.750 0.000
Mo 0.750 0.000 0.500

## Properties
DOS at the Fermi energy   23.04 states/eV/cell
Crystal system   cubic
Final energy   -149.9 eV/f.u.
Uncorrected formation energy   0.67 eV/atom